# 1
## TcHgTe2 (SCAN)

Data for a PBEsol-optimized structure of TcHgTe2.

Size of the total moment, μB per cell: 0.0
Formation energy (no corrections), eV/atom: 0.201
E, eV per atom: -44.23
DOS at the Fermi energy, states/eV/cell: 3.5

a = 3.1255 Å, b = 3.1255 Å, c = 9.5481 Å
α = 90.00°, β = 90.00°, γ = 90.00°
With the nearest neighbours (Å) after each atom.
Space group P4mm (No. 99)
Asymmetric unit:
Tc 0.0000 0.0000 0.0000  4 Te 2.68, 4 Hg 2.90
Hg 0.5000 0.5000 0.8030  4 Tc 2.90, 4 Hg 3.13
Te 0.0000 0.0000 0.5039  4 Te 3.13
Te 0.5000 0.5000 0.1593  4 Tc 2.68

=====

# 2
## Tc2HgTe (SCAN)

Data for a PBEsol-optimized structure of Tc2HgTe.

Size of the total moment, μB per cell: 0.0
Formation energy (no corrections), eV/atom: 0.550
E, eV per atom: -43.33
DOS at the Fermi energy, states/eV/cell: 12.5
E above lowest polymorph, meV/atom: 136

a = 3.0880 Å, b = 3.0880 Å, c = 25.2285 Å
α = 90.00°, β = 90.00°, γ = 120.00°
With the nearest neighbours (Å) after each atom.
Space group R-3m (No. 166, hexagonal axes)
Asymmetric unit:
Tc 0.0000 0.0000 0.2444  3 Te 2.65, 3 Hg 2.87
Hg 0.0000 0.0000 0.0000  6 Tc 2.87, 6 Hg 3.09
Te 0.0000 0.0000 0.5000  6 Tc 2.65

=====

# 3
## Tc2HgTe (SCAN)

Data for a PBEsol-optimized structure of Tc2HgTe.

Size of the total moment, μB per cell: 0.0
Formation energy (no corrections), eV/atom: 0.414
E, eV per atom: -43.47
DOS at the Fermi energy, states/eV/cell: 10.0
E above lowest polymorph, meV/atom: 0

a = 2.9598 Å, b = 2.9598 Å, c = 29.9943 Å
α = 90.00°, β = 90.00°, γ = 120.00°
With the nearest neighbours (Å) after each atom.
Space group R3m (No. 160, hexagonal axes)
Asymmetric unit:
Tc 0.0000 0.0000 0.0000  3 Tc 2.56, 3 Te 2.83
Tc 0.0000 0.0000 0.2698  3 Tc 2.56
Hg 0.0000 0.0000 0.5225  6 Hg 2.96, 3 Tc 2.96
Te 0.0000 0.0000 0.7420  3 Tc 2.83, 6 Te 2.96

=====

# 4
## Tc2HgTe (SCAN)

Data for a PBEsol-optimized structure of Tc2HgTe.

Size of the total moment, μB per cell: 0.0
Formation energy (no corrections), eV/atom: 0.865
E, eV per atom: -43.02
DOS at the Fermi energy, states/eV/cell: 14.0
E above lowest polymorph, meV/atom: 451

a = 6.5556 Å, b = 6.5556 Å, c = 6.5556 Å
α = 90.00°, β = 90.00°, γ = 90.00°
With the nearest neighbours (Å) after each atom.
Space group F-43m (No. 216)
Asymmetric unit:
Tc 0.0000 0.0000 0.0000  4 Hg 2.84, 4 Tc 2.84
Tc 0.2500 0.2500 0.2500  4 Tc 2.84, 4 Te 2.84
Hg 0.2500 0.2500 0.7500  4 Tc 2.84, 4 Te 2.84
Te 0.0000 0.0000 0.5000  4 Hg 2.84, 4 Tc 2.84